Entry 1:
Density functional theory data (PBE) for crystalline Tb2CeHoP4 at its relaxed geometry.

Lattice parameters (Å, degrees): 4.032 6.972 6.977 109.40 90.00 90.00
Fractional positions:
Tb1 0.500 0.000 0.500
Tb2 0.000 0.500 0.500
Ho1 0.000 0.000 0.000
P1 0.500 0.751 0.752
P2 0.000 0.249 0.750
P3 0.500 0.249 0.248
P4 0.000 0.751 0.250
Ce1 0.500 0.500 0.000

=====

Entry 2:
Density functional theory data (PBE) for crystalline Ce3HoTh4P8 at its relaxed geometry.

Lattice parameters (Å, degrees): 8.220 8.203 8.220 120.07 120.00 90.00
Fractional positions:
Ce1 0.000 0.500 0.500
Ce2 0.500 0.500 0.500
Ce3 0.500 0.500 0.000
Ho1 0.000 0.500 0.000
Th1 0.000 0.000 0.500
Th2 0.500 0.000 0.500
Th3 0.000 0.000 0.000
Th4 0.500 0.000 0.000
P1 0.251 0.254 0.502
P2 0.749 0.746 0.498
P3 0.753 0.255 0.506
P4 0.250 0.255 0.002
P5 0.750 0.745 0.998
P6 0.247 0.745 0.494
P7 0.753 0.255 0.002
P8 0.247 0.745 0.998

=====

Entry 3:
Density functional theory data (PBE) for crystalline Ce3HoTh2P6 at its relaxed geometry.

Lattice parameters (Å, degrees): 7.093 7.093 7.099 99.59 99.59 119.99
Fractional positions:
Ho1 0.000 0.000 0.000
Th1 0.334 0.666 0.000
Th2 0.666 0.334 0.000
Ce1 0.833 0.167 0.500
Ce2 0.500 0.500 0.500
Ce3 0.167 0.833 0.500
P1 0.755 0.755 0.251
P2 0.245 0.245 0.749
P3 0.083 0.412 0.250
P4 0.412 0.083 0.250
P5 0.588 0.917 0.750
P6 0.917 0.588 0.750

=====

Entry 4:
Density functional theory data (PBE) for crystalline Ce3Ho2ThP6 at its relaxed geometry.

Lattice parameters (Å, degrees): 7.046 7.046 7.054 99.59 99.59 120.00
Fractional positions:
Ho1 0.333 0.667 0.000
Ho2 0.667 0.333 0.000
Ce1 0.834 0.166 0.500
Ce2 0.500 0.500 0.500
Ce3 0.166 0.834 0.500
Th1 0.000 0.000 0.000
P1 0.917 0.580 0.752
P2 0.256 0.256 0.753
P3 0.744 0.744 0.247
P4 0.420 0.083 0.248
P5 0.083 0.420 0.248
P6 0.580 0.917 0.752

=====

E_tot across the listed records, respectively: -6.76; -7.51; -7.35; -7.12 eV/atom.